1) Material: SrScCd
Method: DFT, PBE-GGA
State: relaxed

extended XYZ file:
```
3
Lattice="3.680 0.000 0.000 -1.840 3.187 0.000 0.000 0.000 8.017" Properties=species:S:1:pos:R:3 pbc="T T T"
Sr 0.000 0.000 0.000
Sc 1.840 1.062 4.914
Cd 0.000 2.125 2.729
```

Summary:
space-group type = P3m1 (156)

2) Material: SrScCd
Method: DFT, PBE-GGA
State: relaxed

extended XYZ file:
```
3
Lattice="5.251 0.000 0.000 -2.626 4.548 0.000 0.000 0.000 3.939" Properties=species:S:1:pos:R:3 pbc="T T T"
Sr 0.000 0.000 0.000
Sc 0.000 3.032 1.970
Cd 2.626 1.516 1.970
```

Summary:
space-group type = P-6m2 (187)

2) has the most favorable energy; the next structure is 0.069 eV/atom above.

1) Material: SrSc3Cd
Method: DFT, PBE-GGA
State: relaxed

extended XYZ file:
```
5
Lattice="5.463 0.000 0.000 0.000 5.463 0.000 0.000 0.000 5.463" Properties=species:S:1:pos:R:3 pbc="T T T"
Sr 0.000 0.000 0.000
Sc 0.000 2.731 2.731
Sc 2.731 0.000 2.731
Sc 2.731 2.731 0.000
Cd 2.731 2.731 2.731
```

Summary:
space-group type = Pm-3m (221)

2) Material: SrSc3Cd
Method: DFT, PBE-GGA
State: relaxed

extended XYZ file:
```
5
Lattice="5.290 0.000 0.000 0.000 5.290 0.000 0.000 0.000 5.290" Properties=species:S:1:pos:R:3 pbc="T T T"
Sr 0.000 0.000 0.000
Sc 0.000 0.000 2.645
Sc 0.000 2.645 0.000
Sc 2.645 0.000 0.000
Cd 2.645 2.645 2.645
```

Summary:
space-group type = Pm-3m (221)

1) has the most favorable energy; the next structure is 0.851 eV/atom above.

1) Material: ScTaCd2
Method: DFT, PBE-GGA
State: relaxed

extended XYZ file:
```
4
Lattice="3.102 0.000 0.000 0.000 4.218 0.000 0.000 0.000 6.299" Properties=species:S:1:pos:R:3 pbc="T T T"
Sc 0.000 0.000 0.000
Ta 1.551 2.109 1.489
Cd 0.000 0.000 3.042
Cd 1.551 2.109 4.660
```

Summary:
space-group type = Pmm2 (25)

2) Material: ScTaCd2
Method: DFT, PBE-GGA
State: relaxed

extended XYZ file:
```
4
Lattice="5.082 0.000 0.000 0.000 5.082 0.000 0.000 0.000 3.135" Properties=species:S:1:pos:R:3 pbc="T T T"
Sc 0.000 0.000 0.000
Ta 2.541 2.541 0.000
Cd 0.000 2.541 1.568
Cd 2.541 0.000 1.568
```

Summary:
space-group type = P4/mmm (123)

3) Material: ScTaCd2
Method: DFT, PBE-GGA
State: relaxed

extended XYZ file:
```
4
Lattice="3.075 0.000 0.000 0.000 4.535 0.000 -1.530 0.000 5.960" Properties=species:S:1:pos:R:3 pbc="T T T"
Sc 0.000 0.000 0.000
Ta 1.539 2.268 1.543
Cd 0.004 0.000 2.905
Cd 0.008 2.268 4.569
```

Summary:
space-group type = Pm (6)

1) has the most favorable energy; the next structure is 0.009 eV/atom above.

1) Material: ScTaCd2
Method: DFT, PBE-GGA
State: relaxed

extended XYZ file:
```
4
Lattice="0.000 3.478 3.478 3.478 0.000 3.478 3.478 3.478 0.000" Properties=species:S:1:pos:R:3 pbc="T T T"
Sc 0.000 0.000 0.000
Ta 1.739 1.739 1.739
Cd 3.478 3.478 3.478
Cd 5.217 5.217 5.217
```

Summary:
space-group type = F-43m (216)

2) Material: ScTaCd2
Method: DFT, PBE-GGA
State: relaxed

extended XYZ file:
```
4
Lattice="1.529 0.883 10.238 -1.529 0.883 10.238 0.000 -1.766 10.238" Properties=species:S:1:pos:R:3 pbc="T T T"
Sc 0.000 0.000 0.000
Ta 0.000 0.000 15.357
Cd 0.000 0.000 7.646
Cd 0.000 0.000 23.068
```

Summary:
space-group type = R-3m (166)

3) Material: ScTaCd2
Method: DFT, PBE-GGA
State: relaxed

extended XYZ file:
```
4
Lattice="2.961 0.000 0.000 0.000 2.961 0.000 0.000 0.000 9.413" Properties=species:S:1:pos:R:3 pbc="T T T"
Sc 0.000 0.000 0.000
Ta 1.481 1.481 2.209
Cd 0.000 0.000 4.528
Cd 1.481 1.481 6.947
```

Summary:
space-group type = P4mm (99)

3) has the most favorable energy; the next structure is 0.178 eV/atom above.

1) Material: ScTaCd2
Method: DFT, PBE-GGA
State: relaxed

extended XYZ file:
```
4
Lattice="0.000 3.437 3.437 3.437 0.000 3.437 3.437 3.437 0.000" Properties=species:S:1:pos:R:3 pbc="T T T"
Sc 0.000 0.000 0.000
Ta 3.437 3.437 3.437
Cd 1.719 1.719 1.719
Cd 5.156 5.156 5.156
```

Summary:
space-group type = Fm-3m (225)

2) Material: ScTaCd2
Method: DFT, PBE-GGA
State: relaxed

extended XYZ file:
```
4
Lattice="4.358 0.000 0.000 0.000 4.358 0.000 0.000 0.000 4.252" Properties=species:S:1:pos:R:3 pbc="T T T"
Sc 0.000 0.000 0.000
Ta 2.179 2.179 0.000
Cd 0.000 2.179 2.126
Cd 2.179 0.000 2.126
```

Summary:
space-group type = P4/mmm (123)

3) Material: ScTaCd2
Method: DFT, PBE-GGA
State: relaxed

extended XYZ file:
```
8
Lattice="-3.937 3.937 2.856 3.937 -3.937 2.856 3.937 3.937 -2.856" Properties=species:S:1:pos:R:3 pbc="T T T"
Sc 0.000 0.000 0.000
Sc 0.000 3.937 1.428
Ta 3.937 0.000 1.428
Ta 0.000 0.000 2.856
Cd 1.969 -1.890 2.142
Cd 2.047 1.969 0.714
Cd 1.969 5.827 -0.714
Cd 1.890 1.969 3.569
```

Summary:
space-group type = I-42d (122)

4) Material: ScTaCd2
Method: DFT, PBE-GGA
State: relaxed

extended XYZ file:
```
4
Lattice="3.045 -4.325 0.000 3.045 4.325 0.000 -0.010 0.000 3.052" Properties=species:S:1:pos:R:3 pbc="T T T"
Sc 0.000 0.000 0.000
Ta 3.045 0.000 0.000
Cd 1.518 2.162 1.526
Cd 1.518 -2.162 1.526
```

Summary:
space-group type = C2/m (12)

4) has the most favorable energy; the next structure is 0.035 eV/atom above.

1) Material: ScTa3Cd
Method: DFT, PBE-GGA
State: relaxed

extended XYZ file:
```
5
Lattice="4.999 0.000 0.000 0.000 4.999 0.000 0.000 0.000 4.999" Properties=species:S:1:pos:R:3 pbc="T T T"
Sc 0.000 0.000 0.000
Ta 0.000 2.500 2.500
Ta 2.500 0.000 2.500
Ta 2.500 2.500 0.000
Cd 2.500 2.500 2.500
```

Summary:
space-group type = Pm-3m (221)

2) Material: ScTa3Cd
Method: DFT, PBE-GGA
State: relaxed

extended XYZ file:
```
5
Lattice="4.786 0.000 0.000 0.000 4.786 0.000 0.000 0.000 4.786" Properties=species:S:1:pos:R:3 pbc="T T T"
Sc 0.000 0.000 0.000
Ta 0.000 0.000 2.393
Ta 0.000 2.393 0.000
Ta 2.393 0.000 0.000
Cd 2.393 2.393 2.393
```

Summary:
space-group type = Pm-3m (221)

2) has the most favorable energy; the next structure is 0.107 eV/atom above.

1) Material: TbSc2Cd
Method: DFT, PBE-GGA
State: relaxed

extended XYZ file:
```
4
Lattice="3.402 0.000 0.000 0.000 3.402 0.000 0.000 0.000 8.709" Properties=species:S:1:pos:R:3 pbc="T T T"
Tb 0.000 0.000 0.000
Sc 1.701 1.701 2.411
Sc 1.701 1.701 6.298
Cd 0.000 0.000 4.354
```

Summary:
space-group type = P4/mmm (123)

2) Material: TbSc2Cd
Method: DFT, PBE-GGA
State: relaxed

extended XYZ file:
```
4
Lattice="6.043 -1.796 0.000 6.043 1.796 0.000 -2.241 0.000 4.706" Properties=species:S:1:pos:R:3 pbc="T T T"
Tb 0.000 0.000 0.000
Sc 1.105 0.000 3.417
Sc 8.739 0.000 1.289
Cd 4.922 0.000 2.353
```

Summary:
space-group type = C2/m (12)

2) has the most favorable energy; the next structure is 0.008 eV/atom above.

1) Material: TbSc2Cd
Method: DFT, PBE-GGA
State: relaxed

extended XYZ file:
```
8
Lattice="2.460 -5.718 0.000 2.460 5.718 0.000 0.000 0.000 7.426" Properties=species:S:1:pos:R:3 pbc="T T T"
Tb 2.460 4.956 5.570
Tb 2.460 -4.956 1.857
Sc 2.460 1.581 4.003
Sc 2.460 1.581 7.137
Sc 2.460 -1.581 0.290
Sc 2.460 -1.581 3.423
Cd 2.460 3.413 1.857
Cd 2.460 -3.413 5.570
```

Summary:
space-group type = Cmcm (63)

2) Material: TbSc2Cd
Method: DFT, PBE-GGA
State: relaxed

extended XYZ file:
```
4
Lattice="0.000 3.674 3.674 3.674 0.000 3.674 3.674 3.674 0.000" Properties=species:S:1:pos:R:3 pbc="T T T"
Tb 0.000 0.000 0.000
Sc 1.837 1.837 1.837
Sc 5.511 5.511 5.511
Cd 3.674 3.674 3.674
```

Summary:
space-group type = Fm-3m (225)

3) Material: TbSc2Cd
Method: DFT, PBE-GGA
State: relaxed

extended XYZ file:
```
4
Lattice="4.626 0.000 0.000 0.000 4.626 0.000 0.000 0.000 4.663" Properties=species:S:1:pos:R:3 pbc="T T T"
Tb 0.000 0.000 0.000
Sc 0.000 2.313 2.332
Sc 2.313 0.000 2.332
Cd 2.313 2.313 0.000
```

Summary:
space-group type = P4/mmm (123)

4) Material: TbSc2Cd
Method: DFT, PBE-GGA
State: relaxed

extended XYZ file:
```
4
Lattice="1.707 0.986 10.281 -1.707 0.986 10.281 0.000 -1.971 10.281" Properties=species:S:1:pos:R:3 pbc="T T T"
Tb 0.000 0.000 0.000
Sc 0.000 0.000 7.537
Sc 0.000 0.000 13.046
Cd 0.000 0.000 25.722
```

Summary:
space-group type = R3m (160)

3) has the most favorable energy; the next structure is 0.048 eV/atom above.

1) Material: Tb2ScCd4
Method: DFT, PBE-GGA
State: relaxed

extended XYZ file:
```
7
Lattice="-2.687 2.687 7.739 2.687 -2.687 7.739 2.687 2.687 -7.739" Properties=species:S:1:pos:R:3 pbc="T T T"
Tb 0.000 0.000 1.685
Tb 0.000 0.000 13.793
Sc 0.000 0.000 7.739
Cd 2.687 0.000 0.000
Cd 0.000 0.000 4.842
Cd 0.000 2.687 0.000
Cd 0.000 0.000 10.636
```

Summary:
space-group type = I4/mmm (139)

2) Material: Tb2ScCd4
Method: DFT, PBE-GGA
State: relaxed

extended XYZ file:
```
7
Lattice="2.554 1.474 8.420 -2.554 1.474 8.420 0.000 -2.949 8.420" Properties=species:S:1:pos:R:3 pbc="T T T"
Tb 0.000 0.000 6.312
Tb 0.000 0.000 18.949
Sc 0.000 0.000 0.000
Cd 0.000 0.000 3.171
Cd 0.000 0.000 9.486
Cd 0.000 0.000 15.775
Cd 0.000 0.000 22.090
```

Summary:
space-group type = R-3m (166)

2) has the most favorable energy; the next structure is 0.353 eV/atom above.

1) Material: Tb2ScCd2
Method: DFT, PBE-GGA
State: relaxed

extended XYZ file:
```
5
Lattice="-1.909 3.554 5.016 1.909 -3.554 5.016 1.909 3.554 -5.016" Properties=species:S:1:pos:R:3 pbc="T T T"
Tb 0.000 0.000 2.250
Tb 0.000 0.000 7.782
Sc 0.000 3.554 0.000
Cd 1.909 1.421 0.000
Cd 0.000 2.133 5.016
```

Summary:
space-group type = Immm (71)

2) Material: Tb2ScCd2
Method: DFT, PBE-GGA
State: relaxed

extended XYZ file:
```
10
Lattice="3.632 0.000 0.000 0.000 5.197 0.000 -1.814 0.000 13.666" Properties=species:S:1:pos:R:3 pbc="T T T"
Tb 0.001 1.299 1.189
Tb -0.001 1.299 6.441
Tb 1.818 3.898 7.224
Tb 1.816 3.898 12.476
Sc 0.002 3.898 4.156
Sc 1.816 1.299 9.510
Cd 0.001 3.898 9.846
Cd 0.001 1.299 12.023
Cd 1.817 3.898 1.642
Cd 1.817 1.299 3.820
```

Summary:
space-group type = P2_1/m (11)

2) has the most favorable energy; the next structure is 0.110 eV/atom above.

1) Material: TbTmScCd
Method: DFT, PBE-GGA
State: relaxed

extended XYZ file:
```
4
Lattice="3.502 0.000 0.000 0.000 3.502 0.000 0.000 0.000 8.805" Properties=species:S:1:pos:R:3 pbc="T T T"
Tb 0.000 0.000 0.000
Tm 0.000 0.000 4.542
Sc 1.751 1.751 2.295
Cd 1.751 1.751 6.629
```

Summary:
space-group type = P4mm (99)

2) Material: TbTmScCd
Method: DFT, PBE-GGA
State: relaxed

extended XYZ file:
```
4
Lattice="0.000 3.759 3.759 3.759 0.000 3.759 3.759 3.759 0.000" Properties=species:S:1:pos:R:3 pbc="T T T"
Tb 0.000 0.000 0.000
Tm 3.759 3.759 3.759
Sc 5.639 5.639 5.639
Cd 1.880 1.880 1.880
```

Summary:
space-group type = F-43m (216)

1) has the most favorable energy; the next structure is 0.088 eV/atom above.